Record 1
The following is a PBE calculation of a relaxed Pr9TmCd2 crystal, from Alexandria.

Properties
The crystal system is tetragonal. The value obtained for the total energy is -4.177 eV per atom.

Cell: 5.0577 5.0577 15.3347 Å, 90.00 90.00 90.00°
With the nearest neighbours (Å) after each atom.
Fractional positions:
Cd 0.0000 0.0000 0.6607  12 Pr 3.53-3.61
Pr 0.5000 0.0000 0.5000  4 Cd 3.53, 8 Pr 3.57-3.58
Pr 0.5000 0.5000 0.6647  8 Pr 3.57, 4 Cd 3.58
Pr 0.0000 0.5000 0.1713  8 Pr 3.57-3.65, 2 Cd 3.61, 2 Tm 3.65
Tm 0.0000 0.0000 0.0000  12 Pr 3.58-3.65
Cd 0.0000 0.0000 0.3393  12 Pr 3.53-3.61
Pr 0.5000 0.0000 0.1713  8 Pr 3.57-3.65, 2 Cd 3.61, 2 Tm 3.65
Pr 0.5000 0.0000 0.8287  8 Pr 3.57-3.65, 2 Cd 3.61, 2 Tm 3.65
Pr 0.5000 0.5000 0.3353  8 Pr 3.57, 4 Cd 3.58
Pr 0.5000 0.5000 0.0000  4 Tm 3.58, 8 Pr 3.65
Pr 0.0000 0.5000 0.5000  4 Cd 3.53, 8 Pr 3.57-3.58
Pr 0.0000 0.5000 0.8287  8 Pr 3.57-3.65, 2 Cd 3.61, 2 Tm 3.65

Record 2
The following is a PBE calculation of a relaxed Mg2ScBr crystal, from Alexandria.

Properties
The raw formation energy comes out at -1.3 eV per formula unit. The crystal system is trigonal. The value obtained for the total energy is -3.117 eV per atom. Its energy relative to the lowest polymorph listed for this composition is 0.056 eV/atom.

Cell: 9.5402 9.5402 9.5402 Å, 21.04 21.04 21.04°
With the nearest neighbours (Å) after each atom.
Fractional positions:
Sc 0.2500 0.2500 0.2500  6 Mg 3.19, 6 Sc 3.48
Mg 0.0052 0.0052 0.0052  3 Br 2.97, 3 Sc 3.19
Br 0.7500 0.7500 0.7500  6 Mg 2.97
Mg 0.4948 0.4948 0.4948  3 Br 2.97, 3 Sc 3.19

Record 3
The following is a PBE calculation of a relaxed La2AlPb crystal, from Alexandria.

Properties
The crystal system is orthorhombic. The value obtained for the total energy is -4.759 eV per atom.

Cell: 5.8054 5.8054 3.6005 Å, 90.00 90.00 102.16°
With the nearest neighbours (Å) after each atom.
Fractional positions:
Al 0.0000 0.5000 0.5000  8 La 3.42, 2 Al 3.60, 2 Pb 3.65
Pb 0.5000 0.0000 0.5000  8 La 3.42, 2 Pb 3.60, 2 Al 3.65
La 0.0000 0.0000 0.0000  4 Al 3.42, 4 Pb 3.42, 4 La 3.60-3.65
La 0.5000 0.5000 0.0000  4 Pb 3.42, 4 Al 3.42, 4 La 3.60-3.65

Record 4
The following is a PBE calculation of a relaxed Y2Ho3Cd4 crystal, from Alexandria.

Properties
The crystal system is orthorhombic. The value obtained for the total energy is -3.529 eV per atom.

Cell: 6.6913 8.0601 9.8997 Å, 90.00 109.75 90.00°
With the nearest neighbours (Å) after each atom.
Fractional positions:
Cd 0.6748 0.7500 0.8497  3 Ho 2.97-3.16, 2 Cd 3.17, 2 Y 3.29
Ho 0.0000 0.0000 0.0000  6 Cd 2.97-2.99
Ho 0.0055 0.7500 0.5110  5 Cd 3.06-3.16, 2 Ho 3.35
Cd 0.3398 0.4798 0.6796  5 Ho 2.99-3.16, 2 Cd 3.17, 1 Y 3.31
Ho 0.4945 0.2500 0.4890  5 Cd 3.06-3.16, 2 Ho 3.35
Y 0.9074 0.4002 0.8149  5 Cd 3.29-3.63, 3 Ho 3.66-3.67
Ho 0.5055 0.7500 0.5110  5 Cd 3.06-3.16, 2 Ho 3.35
Y 0.5926 0.9002 0.1851  5 Cd 3.29-3.63, 3 Ho 3.66-3.67
Y 0.0926 0.5998 0.1851  5 Cd 3.29-3.63, 3 Ho 3.66-3.67
Cd 0.1748 0.7500 0.8497  3 Ho 2.97-3.16, 2 Cd 3.17, 2 Y 3.29
Cd 0.8398 0.0202 0.6796  5 Ho 2.99-3.16, 2 Cd 3.17, 1 Y 3.31
Y 0.4074 0.0998 0.8149  5 Cd 3.29-3.63, 3 Ho 3.66-3.67
Cd 0.3252 0.2500 0.1503  3 Ho 2.97-3.16, 2 Cd 3.17, 2 Y 3.29
Ho 0.9945 0.2500 0.4890  5 Cd 3.06-3.16, 2 Ho 3.35
Cd 0.6602 0.5202 0.3204  5 Ho 2.99-3.16, 2 Cd 3.17, 1 Y 3.31
Ho 0.5000 0.5000 0.0000  6 Cd 2.97-2.99
Cd 0.1602 0.9798 0.3204  5 Ho 2.99-3.16, 2 Cd 3.17, 1 Y 3.31
Cd 0.8252 0.2500 0.1503  3 Ho 2.97-3.16, 2 Cd 3.17, 2 Y 3.29

Record 5
The following is a PBE calculation of a relaxed LaGeS3 crystal, from Alexandria.

Properties
The raw formation energy comes out at -5.9 eV per formula unit. The crystal system is orthorhombic. The value obtained for the total energy is -5.563 eV per atom. Its energy relative to the lowest polymorph listed for this composition is 0.068 eV/atom.

Cell: 6.4848 7.8145 9.0911 Å, 90.00 90.00 90.00°
With the nearest neighbours (Å) after each atom.
Fractional positions:
S 0.3356 0.3268 0.9246  1 Ge 2.30
Ge 0.9793 0.5638 0.4943  4 S 2.30-2.47
S 0.1660 0.8161 0.5294  1 Ge 2.34
S 0.8970 0.4707 0.7390  2 Ge 2.40-2.47
S 0.6644 0.6732 0.4246  1 Ge 2.30
La 0.5404 0.3910 0.2236  8 S 2.97-3.15
S 0.8356 0.1732 0.4246  1 Ge 2.30
S 0.3970 0.0293 0.2390  2 Ge 2.40-2.47
S 0.1644 0.8268 0.9246  1 Ge 2.30
S 0.8340 0.1839 0.0294  1 Ge 2.34
S 0.3340 0.3161 0.5294  1 Ge 2.34
Ge 0.0207 0.4362 0.9943  4 S 2.30-2.47
Ge 0.5207 0.0638 0.4943  4 S 2.30-2.47
S 0.1030 0.5293 0.2390  2 Ge 2.40-2.47
S 0.6660 0.6839 0.0294  1 Ge 2.34
S 0.6030 0.9707 0.7390  2 Ge 2.40-2.47
La 0.4596 0.6090 0.7236  8 S 2.97-3.15
La 0.9596 0.8910 0.2236  8 S 2.97-3.15
La 0.0404 0.1090 0.7236  8 S 2.97-3.15
Ge 0.4793 0.9362 0.9943  4 S 2.30-2.47

Record 6
The following is a PBE calculation of a relaxed Er2Se3 crystal, from Alexandria.

Properties
The raw formation energy comes out at -9.4 eV per formula unit. The crystal system is orthorhombic. The value obtained for the total energy is -5.800 eV per atom.

Cell: 13.4478 12.8355 7.0379 Å, 79.33 69.72 30.95°
With the nearest neighbours (Å) after each atom.
Fractional positions:
Er 0.5838 0.5838 0.4162  6 Se 2.83-2.87
Se 0.7425 0.2575 0.2575  4 Er 2.85-2.87
Se 0.8203 0.3418 0.6739  4 Er 2.83-2.87
Er 0.8338 0.8338 0.6662  6 Se 2.83-2.87
Se 0.0860 0.5761 0.9082  4 Er 2.83-2.87
Se 0.5075 0.9925 0.9925  4 Er 2.85-2.87
Se 0.9925 0.5075 0.5075  4 Er 2.85-2.87
Se 0.1640 0.6739 0.3418  4 Er 2.83-2.87
Er 0.6662 0.6662 0.8338  6 Se 2.83-2.87
Se 0.9082 0.4297 0.0860  4 Er 2.83-2.87
Er 0.2473 0.2473 0.7527  6 Se 2.84-2.87
Er 0.0027 0.0027 0.4973  6 Se 2.84-2.87
Se 0.6739 0.1640 0.8203  4 Er 2.83-2.87
Se 0.5761 0.0860 0.4297  4 Er 2.83-2.87
Er 0.7527 0.7527 0.2473  6 Se 2.84-2.87
Se 0.4297 0.9082 0.5761  4 Er 2.83-2.87
Se 0.2575 0.7425 0.7425  4 Er 2.85-2.87
Se 0.3418 0.8203 0.1640  4 Er 2.83-2.87
Er 0.4973 0.4973 0.0027  6 Se 2.84-2.87
Er 0.4162 0.4162 0.5838  6 Se 2.83-2.87

Record 7
The following is a PBE calculation of a relaxed Ce3SbSe2 crystal, from Alexandria.

Properties
The raw formation energy comes out at -7.3 eV per formula unit. The crystal system is orthorhombic. The value obtained for the total energy is -6.024 eV per atom. Its energy relative to the lowest polymorph listed for this composition is 0.060 eV/atom.

Cell: 7.0640 7.3392 7.3392 Å, 70.02 90.00 90.00°
With the nearest neighbours (Å) after each atom.
Fractional positions:
Ce 0.2500 0.8713 0.4618  4 Se 3.00-3.06, 1 Sb 3.17
Ce 0.7500 0.4618 0.8713  4 Se 3.00-3.06, 1 Sb 3.17
Ce 0.7500 0.1287 0.5382  4 Se 3.00-3.06, 1 Sb 3.17
Se 0.0000 0.1916 0.1916  6 Ce 2.95-3.06
Sb 0.2500 0.4129 0.5871  3 Ce 2.94-3.17
Se 0.0000 0.8084 0.8084  6 Ce 2.95-3.06
Ce 0.2500 0.5382 0.1287  4 Se 3.00-3.06, 1 Sb 3.17
Ce 0.2500 0.0638 0.9362  1 Sb 2.94, 4 Se 2.95
Sb 0.7500 0.5871 0.4129  3 Ce 2.94-3.17
Se 0.5000 0.1916 0.1916  6 Ce 2.95-3.06
Ce 0.7500 0.9362 0.0638  1 Sb 2.94, 4 Se 2.95
Se 0.5000 0.8084 0.8084  6 Ce 2.95-3.06

Record 8
The following is a PBE calculation of a relaxed Ho8Ga2Si crystal, from Alexandria.

Properties
The raw formation energy comes out at -3.6 eV per formula unit. The crystal system is monoclinic. The value obtained for the total energy is -4.703 eV per atom.

Cell: 4.9005 6.5632 9.6197 Å, 102.19 104.76 90.00°
With the nearest neighbours (Å) after each atom.
Fractional positions:
Ho 0.2128 0.3179 0.4256  3 Ga 3.03-3.18, 2 Ho 3.32
Ho 0.9728 0.2247 0.9457  2 Si 2.96, 1 Ga 3.00
Ho 0.6553 0.9803 0.3106  1 Si 2.92, 3 Ga 2.98-3.06
Si 0.5000 0.0000 0.0000  8 Ho 2.92-3.08
Ga 0.1869 0.7580 0.3738  7 Ho 2.98-3.18
Ga 0.8131 0.2420 0.6262  7 Ho 2.98-3.18
Ho 0.7872 0.6821 0.5744  3 Ga 3.03-3.18, 2 Ho 3.32
Ho 0.4099 0.5464 0.8198  1 Si 3.08, 3 Ho 3.40, 2 Ga 3.42
Ho 0.0272 0.7753 0.0543  2 Si 2.96, 1 Ga 3.00
Ho 0.5901 0.4536 0.1802  1 Si 3.08, 3 Ho 3.40, 2 Ga 3.42
Ho 0.3447 0.0197 0.6894  1 Si 2.92, 3 Ga 2.98-3.06

Record 9
The following is a PBE calculation of a relaxed KY2AlC crystal, from Alexandria.

Properties
The crystal system is tetragonal. The value obtained for the total energy is -5.079 eV per atom.

Cell: 4.8782 5.5878 4.8782 Å, 90.00 90.00 90.00°
With the nearest neighbours (Å) after each atom.
Fractional positions:
Y 0.5000 0.0000 0.0000  2 C 2.44
C 0.0000 0.0000 0.0000  4 Y 2.44
K 0.0000 0.5000 0.0000  2 C 2.79
Y 0.0000 0.0000 0.5000  2 C 2.44
Al 0.5000 0.5000 0.5000  4 K 3.45, 8 Y 3.71

Record 10
The following is a PBE calculation of a relaxed Pm6Pr3Y2Mg crystal, from Alexandria.

Properties
The crystal system is monoclinic. The value obtained for the total energy is -4.753 eV per atom.

Cell: 6.3016 6.3016 11.9528 Å, 95.08 95.08 120.09°
With the nearest neighbours (Å) after each atom.
Fractional positions:
Pm 0.0798 0.4109 0.2440  1 Mg 3.54, 2 Y 3.56-3.57, 6 Pm 3.61-3.65, 3 Pr 3.66-3.68
Pm 0.5891 0.9202 0.7560  1 Mg 3.54, 2 Y 3.56-3.57, 6 Pm 3.61-3.65, 3 Pr 3.66-3.68
Pr 0.1669 0.8331 0.5000  6 Pr 3.63-3.65, 6 Pm 3.66-3.68
Y 0.6664 0.3336 0.0000  6 Pm 3.56-3.57, 3 Mg 3.63-3.64, 3 Y 3.63-3.64
Pm 0.2509 0.2509 0.7545  2 Y 3.57, 1 Mg 3.57, 6 Pm 3.61-3.65, 3 Pr 3.66
Pr 0.5000 0.5000 0.5000  6 Pr 3.64, 6 Pm 3.66-3.67
Pm 0.7491 0.7491 0.2455  2 Y 3.57, 1 Mg 3.57, 6 Pm 3.61-3.65, 3 Pr 3.66
Y 0.3336 0.6664 0.0000  6 Pm 3.56-3.57, 3 Mg 3.63-3.64, 3 Y 3.63-3.64
Pm 0.9202 0.5891 0.7560  1 Mg 3.54, 2 Y 3.56-3.57, 6 Pm 3.61-3.65, 3 Pr 3.66-3.68
Pm 0.4109 0.0798 0.2440  1 Mg 3.54, 2 Y 3.56-3.57, 6 Pm 3.61-3.65, 3 Pr 3.66-3.68
Mg 0.0000 0.0000 0.0000  6 Pm 3.54-3.57, 6 Y 3.63-3.64
Pr 0.8331 0.1669 0.5000  6 Pr 3.63-3.65, 6 Pm 3.66-3.68

Record 11
The following is a PBE calculation of a relaxed K2TmCd3F12 crystal, from Alexandria.

Properties
The raw formation energy comes out at -46.8 eV per formula unit. The crystal system is trigonal. The value obtained for the total energy is -4.372 eV per atom.

Cell: 8.1806 8.1806 8.1806 Å, 57.64 57.64 57.64°
With the nearest neighbours (Å) after each atom.
Fractional positions:
Cd 0.0000 0.0000 0.5000  6 F 2.20-2.24
F 0.9313 0.9313 0.3170  1 Tm 2.14, 1 Cd 2.24
F 0.6830 0.0687 0.0687  1 Tm 2.14, 1 Cd 2.24
Cd 0.0000 0.5000 0.0000  6 F 2.20-2.24
F 0.0967 0.6636 0.6636  2 Cd 2.20
F 0.9313 0.3170 0.9313  1 Tm 2.14, 1 Cd 2.24
F 0.6636 0.6636 0.0967  2 Cd 2.20
F 0.3364 0.3364 0.9033  2 Cd 2.20
F 0.3364 0.9033 0.3364  2 Cd 2.20
F 0.9033 0.3364 0.3364  2 Cd 2.20
K 0.4076 0.4076 0.4076  3 F 2.92
F 0.0687 0.6830 0.0687  1 Tm 2.14, 1 Cd 2.24
F 0.6636 0.0967 0.6636  2 Cd 2.20
Tm 0.0000 0.0000 0.0000  6 F 2.14
Cd 0.5000 0.0000 0.0000  6 F 2.20-2.24
F 0.0687 0.0687 0.6830  1 Tm 2.14, 1 Cd 2.24
K 0.5924 0.5924 0.5924  3 F 2.92
F 0.3170 0.9313 0.9313  1 Tm 2.14, 1 Cd 2.24